This record from the Alexandria database describes a relaxed structure of RbYBi3. The functional is PBE-GGA.

energy relative to the elements: -0.15 eV/atom
E_tot: -0.146 Ha/atom
magnetization: 0.0000 μB per atom
calculated volume: 43.2 Å³/atom

Structure (POSCAR):
```
RbYBi3
1.0
-3.607 -1.980 4.368
0.209 -5.525 -2.332
4.792 -1.250 3.390
Bi Rb Y
3 1 1
Direct
0.000 0.000 0.500 Bi
0.500 0.000 0.000 Bi
0.000 0.500 0.000 Bi
0.500 0.500 0.500 Rb
0.000 0.000 0.000 Y
```

This record from the Alexandria database describes a relaxed structure of Pm2PrEr8. The functional is PBE-GGA.

energy relative to the elements: 0.11 eV/atom
E_tot: -0.165 Ha/atom
magnetization: 0.0000 μB per atom
calculated volume: 32.3 Å³/atom

Structure (POSCAR):
```
Pm2PrEr8
1.0
5.242 0.000 -1.592
-0.989 7.327 -3.258
-0.011 -0.280 9.390
Er Pr Pm
8 1 2
Direct
0.640 0.847 0.279 Er
0.000 0.706 0.000 Er
0.640 0.432 0.279 Er
0.161 0.161 0.323 Er
0.360 0.568 0.721 Er
0.839 0.839 0.677 Er
0.000 0.294 0.000 Er
0.360 0.153 0.721 Er
0.500 0.000 0.000 Pr
0.800 0.300 0.600 Pm
0.200 0.700 0.400 Pm
```

| no. | ΔE to the lowest computed polymorph (eV/f.u.) |
| --- | --- |
| 1 | 0.00 |
| 2 | 0.99 |